No. 1
This record from the Alexandria database describes a relaxed LaMnTcPt2 crystal. The functional is PBE-GGA.

The space group is P4/mmm (No. 123) and the conventional cell measures 4.842, 4.842 and 4.322 Å, with angles of 90.00, 90.00 and 90.00 degrees. The inequivalent atoms are La at (0.000, 0.000, 0.000), Mn at (0.500, 0.500, 0.500), Tc at (0.500, 0.500, 0.000) and Pt at (0.000, 0.500, 0.500).

Its formation energy is 0.014 eV/atom. The value obtained for the total moment is 0.39 μB/atom.

=====

No. 2
This record from the Alexandria database describes a relaxed La2MnZn3Pt12 crystal. The functional is PBE-GGA.

The space group is R-3m (No. 166, hexagonal axes) and the conventional cell measures 6.8159, 6.8159 and 25.9150 Å, with angles of 90.00, 90.00 and 120.00 degrees. The inequivalent atoms are La at (0.0000, 0.0000, 0.1574), Mn at (0.0000, 0.0000, 0.5000), Zn at (0.0000, 0.5000, 0.0000), Pt at (0.0448, 0.5224, 0.1000) and Pt at (0.0675, 0.5338, 0.6179).

Its formation energy is -0.358 eV/atom. The value obtained for the total moment is 0.18 μB/atom.

=====

No. 3
This record from the Alexandria database describes a relaxed LaMnZnPt3 crystal. The functional is PBE-GGA.

The space group is Cmcm (No. 63) and the conventional cell measures 6.656, 12.344 and 5.685 Å, with angles of 90.00, 90.00 and 90.00 degrees. The inequivalent atoms are La at (0.000, 0.203, 0.250), Mn at (0.000, 0.442, 0.250), Zn at (0.000, 0.141, 0.750), Pt at (0.000, 0.345, 0.750) and Pt at (0.206, 0.000, 0.000).

Its formation energy is -0.492 eV/atom. The value obtained for the total moment is 0.64 μB/atom.

=====

No. 4
This record from the Alexandria database describes a relaxed La2ZrMnPt crystal. The functional is PBE-GGA.

The space group is P4/mmm (No. 123) and the conventional cell measures 5.687, 5.687 and 4.561 Å, with angles of 90.00, 90.00 and 90.00 degrees. The inequivalent atoms are La at (0.000, 0.500, 0.000), Zr at (0.000, 0.000, 0.500), Mn at (0.500, 0.500, 0.500) and Pt at (0.500, 0.500, 0.000).

Its formation energy is 0.483 eV/atom. The value obtained for the total moment is 0.48 μB/atom.

=====

No. 5
This record from the Alexandria database describes a relaxed RbLa2Mn crystal. The functional is PBE-GGA.

The space group is Fd-3m (No. 227, origin choice 2) and the conventional cell measures 11.319, 11.319 and 11.319 Å, with angles of 90.00, 90.00 and 90.00 degrees. The inequivalent atoms are Rb at (0.125, 0.125, 0.125), La at (0.000, 0.000, 0.500) and Mn at (0.125, 0.125, 0.625).

As for the energy relative to the lowest polymorph listed for this composition: 0.000 eV/atom. Its formation energy is 0.453 eV/atom. The value obtained for the total moment is 0.00 μB/atom.

=====

No. 6
This record from the Alexandria database describes a relaxed Rb2LaMn crystal. The functional is PBE-GGA.

The space group is Fm-3m (No. 225) and the conventional cell measures 8.168, 8.168 and 8.168 Å, with angles of 90.00, 90.00 and 90.00 degrees. The inequivalent atoms are Rb at (0.250, 0.250, 0.250), La at (0.000, 0.000, 0.000) and Mn at (0.000, 0.000, 0.500).

As for the energy relative to the lowest polymorph listed for this composition: 0.902 eV/atom. Its formation energy is 1.764 eV/atom. The value obtained for the total moment is 0.09 μB/atom.

=====

No. 7
This record from the Alexandria database describes a relaxed RbLa3Mn crystal. The functional is PBE-GGA.

The space group is Pm-3m (No. 221) and the conventional cell measures 5.702, 5.702 and 5.702 Å, with angles of 90.00, 90.00 and 90.00 degrees. The inequivalent atoms are Rb at (0.000, 0.000, 0.000), La at (0.000, 0.000, 0.500) and Mn at (0.500, 0.500, 0.500).

As for the energy relative to the lowest polymorph listed for this composition: 1.015 eV/atom. Its formation energy is 1.381 eV/atom. The value obtained for the total moment is 0.80 μB/atom.

=====

No. 8
This record from the Alexandria database describes a relaxed RbLaMn3 crystal. The functional is PBE-GGA.

The space group is Pm-3m (No. 221) and the conventional cell measures 5.326, 5.326 and 5.326 Å, with angles of 90.00, 90.00 and 90.00 degrees. The inequivalent atoms are Rb at (0.000, 0.000, 0.000), La at (0.500, 0.500, 0.500) and Mn at (0.000, 0.000, 0.500).

As for the energy relative to the lowest polymorph listed for this composition: 0.386 eV/atom. Its formation energy is 1.736 eV/atom. The value obtained for the total moment is 2.45 μB/atom.